{"formula": "MnF3", "functional": "GGA+U", "state": "relaxed", "space_group": "No. 127", "dos_at_fermi_per_ev_fu": 0.4, "total_energy_ev_per_atom": -5.70, "lattice_angstrom": [[-0.4398, 6.6488, -10.5659], [1.8446, -10.4218, -6.6349], [-3.8519, -0.5596, -0.1918]], "species": ["Mn", "Mn", "Mn", "Mn", "Mn", "Mn", "Mn", "Mn", "Mn", "Mn", "F", "F", "F", "F", "F", "F", "F", "F", "F", "F", "F", "F", "F", "F", "F", "F", "F", "F", "F", "F", "F", "F", "F", "F", "F", "F", "F", "F", "F", "F"], "fractional_positions": [[0.5000, 0.0000, 0.5000], [0.2071, 0.0813, 0.5000], [0.9187, 0.2071, 0.5000], [0.4187, 0.2929, 0.5000], [0.7071, 0.4187, 0.5000], [0.0000, 0.5000, 0.5000], [0.2929, 0.5813, 0.5000], [0.5813, 0.7071, 0.5000], [0.0813, 0.7929, 0.5000], [0.7929, 0.9187, 0.5000], [0.5000, 0.0000, 0.0000], [0.6496, 0.9993, 0.5000], [0.8548, 0.0563, 0.5000], [0.2081, 0.0846, 0.0000], [0.0563, 0.1452, 0.5000], [0.4993, 0.1496, 0.5000], [0.9154, 0.2081, 0.0000], [0.2802, 0.2198, 0.5000], [0.7802, 0.2802, 0.5000], [0.4154, 0.2919, 0.0000], [0.9993, 0.3504, 0.5000], [0.5563, 0.3548, 0.5000], [0.7081, 0.4154, 0.0000], [0.3548, 0.4437, 0.5000], [0.1496, 0.5007, 0.5000], [0.0000, 0.5000, 0.0000], [0.8504, 0.4993, 0.5000], [0.6452, 0.5563, 0.5000], [0.2919, 0.5846, 0.0000], [0.4437, 0.6452, 0.5000], [0.0007, 0.6496, 0.5000], [0.5846, 0.7081, 0.0000], [0.2198, 0.7198, 0.5000], [0.7198, 0.7802, 0.5000], [0.0846, 0.7919, 0.0000], [0.5007, 0.8504, 0.5000], [0.9437, 0.8548, 0.5000], [0.7919, 0.9154, 0.0000], [0.1452, 0.9437, 0.5000], [0.3504, 0.0007, 0.5000]]}

{"formula": "TaGaCo2O6", "functional": "GGA+U", "state": "relaxed", "space_group": "No. 146", "dos_at_fermi_per_ev_fu": 0.0, "total_energy_ev_per_atom": -7.34, "lattice_angstrom": [[-0.6568, -3.8933, 3.3606], [3.6617, -3.6374, 0.5015], [3.0503, 0.0083, 4.6049]], "species": ["Ta", "Ga", "Co", "Co", "O", "O", "O", "O", "O", "O"], "fractional_positions": [[0.3150, 0.3151, 0.0548], [0.8122, 0.8123, 0.5635], [0.5249, 0.5249, 0.4254], [0.0280, 0.0280, 0.9161], [0.5938, 0.2047, 0.2600], [0.2048, 0.9414, 0.2599], [0.9415, 0.5937, 0.2599], [0.4399, 0.7026, 0.7586], [0.7026, 0.0990, 0.7586], [0.0989, 0.4399, 0.7585]]}